This record from Alexandria describes a relaxed structure of Na3SnSe4. The functional is PBE.

Results
Crystal system: cubic
E_form (uncorrected): -0.724 eV per atom
Magnetization: 0.00 μB/f.u.

a = 7.451 Å, b = 7.451 Å, c = 7.451 Å
α = 90.00°, β = 90.00°, γ = 90.00°
Space group I-43m (No. 217)
Inequivalent atoms, fractional coordinates:
Na 0.000 0.000 0.500 x6
Sn 0.000 0.000 0.000 x2
Se 0.199 0.199 0.199 x8